1.
! TiNb14Tc, optimized geometry, DFT PBE; values from VASP
&SYSTEM
  ibrav = 0, nat = 16, ntyp = 3
/
ATOMIC_SPECIES
Nb 92.91 Nb.upf
Tc 98.00 Tc.upf
Ti 47.87 Ti.upf
CELL_PARAMETERS angstrom
-3.509 -4.336 -1.166
1.925 -0.520 5.339
-7.231 5.018 3.096
ATOMIC_POSITIONS angstrom
Nb 1.245 -0.997 4.525
Nb -8.253 -0.127 1.932
Tc -5.087 -0.396 2.821
Nb -1.471 -2.905 1.273
Nb -3.332 1.772 3.405
Nb -7.225 -0.358 4.585
Nb 0.283 -0.737 1.856
Ti -2.370 1.513 6.074
Nb -4.124 -0.656 5.491
Nb -0.509 -3.165 3.942
Nb -3.717 -2.792 3.083
Nb -2.948 -0.434 1.057
Nb -5.492 1.813 5.238
Nb -4.682 -2.605 0.403
Nb -6.456 2.000 2.559
Nb -1.920 -0.666 3.709
! calculated volume = 286.01 Å³ per cell
! total energy = -10.00 eV/atom

2.
! TiNb2Tc, optimized geometry, DFT PBE; values from VASP
&SYSTEM
  ibrav = 0, nat = 8, ntyp = 3
/
ATOMIC_SPECIES
Ti 47.87 Ti.upf
Nb 92.91 Nb.upf
Tc 98.00 Tc.upf
CELL_PARAMETERS angstrom
4.553 0.000 0.000
-2.277 3.971 0.000
0.000 0.000 7.968
ATOMIC_POSITIONS angstrom
Ti 0.000 0.006 5.976
Nb 0.000 2.651 7.401
Ti 2.277 3.965 1.992
Tc 2.277 1.326 5.976
Nb 2.277 1.320 3.417
Tc 0.000 2.646 1.992
Nb 0.000 2.651 4.551
Nb 2.277 1.320 0.567
! calculated volume = 144.08 Å³ per cell
! energy relative to the lowest polymorph listed for this composition = 34.5 kJ/mol of atoms

3.
! TiNbTc2, optimized geometry, DFT PBE; values from VASP
&SYSTEM
  ibrav = 0, nat = 4, ntyp = 3
/
ATOMIC_SPECIES
Ti 47.87 Ti.upf
Tc 98.00 Tc.upf
Nb 92.91 Nb.upf
CELL_PARAMETERS angstrom
0.143 2.860 3.412
-3.445 2.715 0.776
-2.592 -0.653 3.563
ATOMIC_POSITIONS angstrom
Ti 0.000 0.000 0.000
Tc -1.474 1.231 1.938
Nb -2.947 2.461 3.875
Tc -4.421 3.692 5.813
! calculated volume = 62.50 Å³ per cell
! energy relative to the lowest polymorph listed for this composition = 0.0 kJ/mol of atoms

4.
! TiNbTc2, optimized geometry, DFT PBE; values from VASP
&SYSTEM
  ibrav = 0, nat = 4, ntyp = 3
/
ATOMIC_SPECIES
Tc 98.00 Tc.upf
Ti 47.87 Ti.upf
Nb 92.91 Nb.upf
CELL_PARAMETERS angstrom
-0.455 0.362 -3.107
1.578 -4.099 -0.708
-4.110 -1.653 0.409
ATOMIC_POSITIONS angstrom
Tc -2.055 -0.827 0.204
Ti -0.227 0.181 -1.554
Nb -1.493 -2.695 -1.703
Tc 0.789 -2.049 -0.354
! calculated volume = 62.57 Å³ per cell
! energy relative to the lowest polymorph listed for this composition = 0.5 kJ/mol of atoms

5.
! Ti2NbTc3, optimized geometry, DFT PBE; values from VASP
&SYSTEM
  ibrav = 0, nat = 12, ntyp = 3
/
ATOMIC_SPECIES
Ti 47.87 Ti.upf
Tc 98.00 Tc.upf
Nb 92.91 Nb.upf
CELL_PARAMETERS angstrom
4.436 0.000 0.018
2.218 6.654 0.009
-0.025 0.000 6.269
ATOMIC_POSITIONS angstrom
Ti -0.012 0.000 3.134
Tc 4.430 2.213 1.602
Nb 4.436 4.458 0.018
Ti 0.000 0.000 0.000
Ti 4.424 4.439 3.152
Nb 2.218 2.196 0.009
Tc 2.212 4.440 1.594
Tc 2.212 0.000 1.590
Tc 2.200 4.440 4.693
Tc 2.200 0.000 4.696
Tc 4.418 2.213 4.702
Ti 2.206 2.214 3.143
! calculated volume = 185.05 Å³ per cell
! energy relative to the lowest polymorph listed for this composition = 0.0 kJ/mol of atoms

6.
! Ti2Nb4Tc, optimized geometry, DFT PBE; values from VASP
&SYSTEM
  ibrav = 0, nat = 7, ntyp = 3
/
ATOMIC_SPECIES
Nb 92.91 Nb.upf
Ti 47.87 Ti.upf
Tc 98.00 Tc.upf
CELL_PARAMETERS angstrom
-2.954 1.143 -0.330
-1.667 -4.149 0.554
0.390 3.390 8.246
ATOMIC_POSITIONS angstrom
Nb -1.112 -1.246 5.644
Ti -2.699 -0.349 7.588
Nb -2.462 -1.053 3.029
Nb -1.768 1.436 5.441
Ti -1.531 0.733 0.882
Nb -0.164 0.487 3.156
Tc -0.833 -2.074 0.277
! calculated volume = 123.88 Å³ per cell
! energy relative to the lowest polymorph listed for this composition = 32.6 kJ/mol of atoms

7.
! TiNb2Tc, optimized geometry, DFT PBE; values from VASP
&SYSTEM
  ibrav = 0, nat = 4, ntyp = 3
/
ATOMIC_SPECIES
Nb 92.91 Nb.upf
Tc 98.00 Tc.upf
Ti 47.87 Ti.upf
CELL_PARAMETERS angstrom
-2.183 -0.819 2.215
-0.563 -3.942 -2.012
4.749 0.551 2.549
ATOMIC_POSITIONS angstrom
Nb 0.388 -3.335 1.485
Nb 1.614 -0.874 1.268
Tc -1.092 -0.409 1.108
Ti -0.282 -1.971 -1.006
! calculated volume = 66.94 Å³ per cell
! energy relative to the lowest polymorph listed for this composition = 0.0 kJ/mol of atoms

8.
! Ti2NbTc2, optimized geometry, DFT PBE; values from VASP
&SYSTEM
  ibrav = 0, nat = 10, ntyp = 3
/
ATOMIC_SPECIES
Tc 98.00 Tc.upf
Ti 47.87 Ti.upf
Nb 92.91 Nb.upf
CELL_PARAMETERS angstrom
-1.909 -4.143 -5.572
6.288 -3.484 0.436
-1.300 -2.095 2.003
ATOMIC_POSITIONS angstrom
Tc 1.904 -1.842 -0.691
Ti -0.080 -5.774 -3.573
Tc -0.292 -3.226 -3.563
Ti -0.360 -3.019 -0.872
Ti 3.438 -6.703 -2.261
Tc 4.671 -4.402 -1.573
Ti 3.159 -3.948 0.439
Tc 2.475 -5.786 -4.445
Nb 0.000 0.000 0.000
Nb 2.189 -3.814 -2.568
! calculated volume = 164.74 Å³ per cell
! energy relative to the lowest polymorph listed for this composition = 34.9 kJ/mol of atoms

9.
! TiNb2Tc, optimized geometry, DFT PBE; values from VASP
&SYSTEM
  ibrav = 0, nat = 4, ntyp = 3
/
ATOMIC_SPECIES
Ti 47.87 Ti.upf
Tc 98.00 Tc.upf
Nb 92.91 Nb.upf
CELL_PARAMETERS angstrom
3.216 0.000 0.000
0.000 4.552 0.000
0.000 0.000 4.552
ATOMIC_POSITIONS angstrom
Ti 1.608 2.276 2.276
Tc 1.608 0.000 0.000
Nb 0.000 2.276 0.000
Nb 0.000 0.000 2.276
! calculated volume = 66.64 Å³ per cell
! energy relative to the lowest polymorph listed for this composition = 8.6 kJ/mol of atoms

10.
! Ti3NbTc, optimized geometry, DFT PBE; values from VASP
&SYSTEM
  ibrav = 0, nat = 5, ntyp = 3
/
ATOMIC_SPECIES
Tc 98.00 Tc.upf
Ti 47.87 Ti.upf
Nb 92.91 Nb.upf
CELL_PARAMETERS angstrom
4.629 0.000 0.000
0.000 4.629 0.000
0.000 0.000 4.629
ATOMIC_POSITIONS angstrom
Tc 0.000 0.000 0.000
Ti 2.314 0.000 0.000
Nb 2.314 2.314 2.314
Ti 0.000 2.314 0.000
Ti 0.000 0.000 2.314
! calculated volume = 99.19 Å³ per cell
! energy relative to the lowest polymorph listed for this composition = 74.9 kJ/mol of atoms

11.
! Ti2Nb4Tc, optimized geometry, DFT PBE; values from VASP
&SYSTEM
  ibrav = 0, nat = 7, ntyp = 3
/
ATOMIC_SPECIES
Nb 92.91 Nb.upf
Tc 98.00 Tc.upf
Ti 47.87 Ti.upf
CELL_PARAMETERS angstrom
-1.267 -2.308 1.026
4.640 0.953 5.299
-2.605 2.624 6.110
ATOMIC_POSITIONS angstrom
Nb 1.584 -0.437 4.539
Tc 0.000 0.000 0.000
Nb -0.816 1.707 7.896
Ti -0.877 -0.675 3.076
Nb 0.989 -0.458 7.473
Ti 1.645 1.945 9.359
Nb -0.221 1.728 4.962
! calculated volume = 122.58 Å³ per cell
! energy relative to the lowest polymorph listed for this composition = 0.0 kJ/mol of atoms

12.
! Ti3NbTc, optimized geometry, DFT PBE; values from VASP
&SYSTEM
  ibrav = 0, nat = 10, ntyp = 3
/
ATOMIC_SPECIES
Ti 47.87 Ti.upf
Tc 98.00 Tc.upf
Nb 92.91 Nb.upf
CELL_PARAMETERS angstrom
-0.455 -1.941 3.840
2.595 -5.750 -2.599
5.413 1.753 1.527
ATOMIC_POSITIONS angstrom
Ti 1.182 -0.455 1.129
Ti 6.371 -5.483 1.639
Tc 1.865 -4.787 -0.980
Ti 5.380 -3.287 2.632
Ti 2.173 -2.651 0.136
Nb 2.849 -2.071 2.947
Nb 4.704 -3.868 -0.179
Ti 3.070 -5.294 1.344
Tc 5.688 -1.151 3.748
Ti 4.483 -0.644 1.424
! calculated volume = 173.89 Å³ per cell
! energy relative to the lowest polymorph listed for this composition = 17.3 kJ/mol of atoms

13.
! Ti5NbTc4, optimized geometry, DFT PBE; values from VASP
&SYSTEM
  ibrav = 0, nat = 10, ntyp = 3
/
ATOMIC_SPECIES
Ti 47.87 Ti.upf
Tc 98.00 Tc.upf
Nb 92.91 Nb.upf
CELL_PARAMETERS angstrom
3.108 0.000 0.000
0.000 3.108 0.000
0.000 0.000 16.060
ATOMIC_POSITIONS angstrom
Ti 1.554 1.554 11.122
Ti 1.554 1.554 8.030
Tc 0.000 0.000 12.720
Tc 0.000 0.000 3.341
Ti 1.554 1.554 1.895
Ti 1.554 1.554 4.938
Nb 0.000 0.000 0.000
Tc 0.000 0.000 9.587
Ti 1.554 1.554 14.165
Tc 0.000 0.000 6.473
! calculated volume = 155.18 Å³ per cell
! total energy = -9.50 eV/atom

14.
! Ti5Nb2Tc2, optimized geometry, DFT PBE; values from VASP
&SYSTEM
  ibrav = 0, nat = 9, ntyp = 3
/
ATOMIC_SPECIES
Ti 47.87 Ti.upf
Tc 98.00 Tc.upf
Nb 92.91 Nb.upf
CELL_PARAMETERS angstrom
4.248 0.000 -1.544
-0.544 6.722 -1.497
-0.461 0.039 5.348
ATOMIC_POSITIONS angstrom
Ti 0.000 0.000 0.000
Ti 1.073 0.218 2.953
Tc 2.691 4.514 0.788
Ti 2.170 6.543 -0.646
Tc 0.552 2.246 1.519
Nb 2.153 2.269 -0.691
Ti 3.203 2.315 2.196
Ti 0.040 4.446 0.111
Nb 1.090 4.492 2.998
! calculated volume = 148.22 Å³ per cell
! total energy = -9.17 eV/atom

15.
! TiNb2Tc, optimized geometry, DFT PBE; values from VASP
&SYSTEM
  ibrav = 0, nat = 4, ntyp = 3
/
ATOMIC_SPECIES
Nb 92.91 Nb.upf
Tc 98.00 Tc.upf
Ti 47.87 Ti.upf
CELL_PARAMETERS angstrom
4.552 0.000 0.000
2.276 3.942 0.000
2.276 1.314 3.716
ATOMIC_POSITIONS angstrom
Nb 2.276 1.314 0.929
Nb 6.828 3.942 2.787
Tc 4.552 2.628 1.858
Ti 0.000 0.000 0.000
! calculated volume = 66.68 Å³ per cell
! energy relative to the lowest polymorph listed for this composition = 8.2 kJ/mol of atoms

16.
! TiNbTc2, optimized geometry, DFT PBE; values from VASP
&SYSTEM
  ibrav = 0, nat = 4, ntyp = 3
/
ATOMIC_SPECIES
Tc 98.00 Tc.upf
Nb 92.91 Nb.upf
Ti 47.87 Ti.upf
CELL_PARAMETERS angstrom
-2.561 1.369 1.227
-0.312 -2.397 2.024
3.615 3.038 4.156
ATOMIC_POSITIONS angstrom
Tc 2.698 2.267 3.102
Nb -1.437 -0.514 1.625
Ti 0.371 1.005 3.703
Tc 0.917 0.771 1.054
! calculated volume = 62.53 Å³ per cell
! energy relative to the lowest polymorph listed for this composition = 0.6 kJ/mol of atoms

17.
! TiNbTc2, optimized geometry, DFT PBE; values from VASP
&SYSTEM
  ibrav = 0, nat = 8, ntyp = 3
/
ATOMIC_SPECIES
Tc 98.00 Tc.upf
Ti 47.87 Ti.upf
Nb 92.91 Nb.upf
CELL_PARAMETERS angstrom
-0.642 -0.999 6.901
-2.133 -6.570 -1.150
1.202 -4.646 2.992
ATOMIC_POSITIONS angstrom
Tc -0.145 -6.340 4.398
Tc -1.522 -10.091 7.279
Ti -1.388 -3.785 2.876
Nb -0.414 -4.715 6.384
Nb 0.000 0.000 0.000
Tc -0.366 -2.605 4.900
Tc -1.115 -5.395 0.910
Ti -1.160 -7.500 2.359
! calculated volume = 133.92 Å³ per cell
! energy relative to the lowest polymorph listed for this composition = 77.5 kJ/mol of atoms

18.
! TiNb2Tc, optimized geometry, DFT PBE; values from VASP
&SYSTEM
  ibrav = 0, nat = 4, ntyp = 3
/
ATOMIC_SPECIES
Nb 92.91 Nb.upf
Tc 98.00 Tc.upf
Ti 47.87 Ti.upf
CELL_PARAMETERS angstrom
3.185 0.000 0.000
0.000 3.185 0.000
0.000 0.000 6.637
ATOMIC_POSITIONS angstrom
Nb 0.000 0.000 5.052
Nb 0.000 0.000 1.585
Tc 1.592 1.592 0.000
Ti 1.592 1.592 3.319
! calculated volume = 67.31 Å³ per cell
! energy relative to the lowest polymorph listed for this composition = 6.5 kJ/mol of atoms

19.
! Ti2Nb3Tc, optimized geometry, DFT PBE; values from VASP
&SYSTEM
  ibrav = 0, nat = 12, ntyp = 3
/
ATOMIC_SPECIES
Ti 47.87 Ti.upf
Nb 92.91 Nb.upf
Tc 98.00 Tc.upf
CELL_PARAMETERS angstrom
-3.659 -0.582 -2.691
2.207 -0.526 -6.801
0.539 -6.519 0.679
ATOMIC_POSITIONS angstrom
Ti 0.000 0.000 0.000
Nb -1.419 -5.258 -0.828
Tc -0.487 -0.369 -3.159
Ti 0.269 -3.260 0.339
Nb 1.248 -5.398 -4.433
Tc -0.427 -7.258 -5.654
Ti -0.693 -3.999 -5.994
Nb -2.161 -2.230 -4.380
Nb 0.506 -2.370 -7.984
Nb 0.968 -2.013 -4.785
Nb -1.882 -5.614 -4.027
Ti -0.220 -3.629 -2.818
! calculated volume = 204.48 Å³ per cell
! total energy = -9.50 eV/atom